Record 1
RhSeCl | PBE-GGA | optimized geometry

The structure belongs to space group P3m1 (No. 156); the cell edges are 3.5525, 3.5525 and 6.2575 Å and the angles 90.00°, 90.00° and 120.00°. The asymmetric unit holds Rh at (0.0000, 0.0000, 0.0000), Se at (0.3333, 0.6667, 0.2061) and Cl at (0.6667, 0.3333, 0.7587).

The value obtained for the energy relative to the elements, uncorrected is -559 meV per atom. The total energy comes out at -4.79 eV per atom.

Record 2
CsEr2Cl7 | PBE-GGA | optimized geometry

The structure belongs to space group Cmmm (No. 65); the cell edges are 8.4269, 13.8046 and 5.2837 Å and the angles 90.00°, 90.00° and 90.00°. The asymmetric unit holds Cs at (0.0000, 0.0000, 0.0000), Er at (0.0000, 0.3043, 0.5000), Cl at (0.0000, 0.2987, 0.0000), Cl at (0.0000, 0.5000, 0.5000) and Cl at (0.1884, 0.1427, 0.5000).

The value obtained for the energy relative to the elements, uncorrected is -2232 meV per atom. The total energy comes out at -4.52 eV per atom.

Record 3
PrCdPtPb | PBE-GGA | optimized geometry

The structure belongs to space group F-43m (No. 216); the cell edges are 7.2755, 7.2755 and 7.2755 Å and the angles 90.00°, 90.00° and 90.00°. The asymmetric unit holds Pr at (0.0000, 0.0000, 0.0000), Cd at (0.2500, 0.2500, 0.2500), Pt at (0.2500, 0.2500, 0.7500) and Pb at (0.0000, 0.0000, 0.5000).

The formation energy comes out at -473 meV per atom. The total energy comes out at -4.33 eV per atom.